(1)
{"formula": "Hf2SiSbIr", "functional": "GGA-PBE", "state": "optimized geometry", "lattice_angstrom": [[5.1357, 0.0000, 0.0000], [0.0000, 5.1357, 0.0000], [0.0000, 0.0000, 4.4431]], "species": ["Hf", "Hf", "Si", "Sb", "Ir"], "frac_coords": [[0.0000, 0.5000, 0.0000], [0.5000, 0.0000, 0.0000], [0.0000, 0.0000, 0.5000], [0.5000, 0.5000, 0.5000], [0.0000, 0.0000, 0.0000]], "crystal_system": "tetragonal", "volume_a3_per_fu": 117.2, "e_form_raw_ev_per_atom": -0.096, "spacegroup": "P4/mmm, No. 123", "dft_energy_ev_per_atom": -7.76}


(2)
{"formula": "VIr6W", "functional": "GGA-PBE", "state": "optimized geometry", "lattice_angstrom": [[5.4722, 0.0000, 0.0000], [0.0000, 5.4722, 0.0000], [0.0000, 0.0000, 3.8687]], "species": ["V", "Ir", "Ir", "Ir", "Ir", "Ir", "Ir", "W"], "frac_coords": [[0.0000, 0.0000, 0.0000], [0.0000, 0.5000, 0.0000], [0.2484, 0.2484, 0.5000], [0.2484, 0.7516, 0.5000], [0.5000, 0.0000, 0.0000], [0.7516, 0.2484, 0.5000], [0.7516, 0.7516, 0.5000], [0.5000, 0.5000, 0.0000]], "crystal_system": "tetragonal", "volume_a3_per_fu": 115.8, "spacegroup": "P4/mmm, No. 123", "dft_energy_ev_per_atom": -9.80, "delta_e_f_kj_per_mol_atoms": -38.1}


(3)
{"formula": "Ca2TaW", "functional": "GGA-PBE", "state": "optimized geometry", "lattice_angstrom": [[3.4839, 0.0000, 0.0000], [0.0000, 3.4831, 0.0000], [-0.0299, 0.0000, 8.6716]], "species": ["Ca", "Ca", "Ta", "W"], "frac_coords": [[0.0000, 0.0000, 0.0000], [0.4978, 0.5000, 0.3643], [0.9985, 0.0000, 0.6274], [0.4996, 0.5000, 0.7509]], "crystal_system": "monoclinic", "volume_a3_per_fu": 105.2, "spacegroup": "Pm, No. 6", "de_polymorph_mev_per_atom": 0, "dft_energy_ev_per_atom": -6.80, "delta_e_f_kj_per_mol_atoms": 38.5}


(4)
{"formula": "CaNdMg", "functional": "GGA-PBE", "state": "optimized geometry", "lattice_angstrom": [[0.0000, 5.4642, 7.7917], [5.4023, 0.0000, 7.7917], [5.4023, 5.4642, 0.0000]], "species": ["Ca", "Ca", "Ca", "Ca", "Nd", "Nd", "Nd", "Nd", "Mg", "Mg", "Mg", "Mg"], "frac_coords": [[0.0032, 0.0032, 0.7468], [0.2532, 0.2532, 0.9968], [0.7468, 0.7468, 0.0032], [0.9968, 0.9968, 0.2532], [0.2564, 0.2564, 0.4936], [0.4936, 0.4936, 0.2564], [0.5064, 0.5064, 0.7436], [0.7436, 0.7436, 0.5064], [0.1250, 0.6250, 0.1250], [0.3750, 0.8750, 0.3750], [0.6250, 0.1250, 0.6250], [0.8750, 0.3750, 0.8750]], "crystal_system": "orthorhombic", "volume_a3_per_fu": 115.0, "spacegroup": "Fddd, No. 70", "de_polymorph_mev_per_atom": 342, "dft_energy_ev_per_atom": -2.50, "delta_e_f_kj_per_mol_atoms": 28.0}


(5)
{"formula": "La2VPd", "functional": "GGA-PBE", "state": "optimized geometry", "lattice_angstrom": [[0.0000, 3.7088, 3.7088], [3.7088, 0.0000, 3.7088], [3.7088, 3.7088, 0.0000]], "species": ["La", "La", "V", "Pd"], "frac_coords": [[0.2500, 0.2500, 0.2500], [0.7500, 0.7500, 0.7500], [0.0000, 0.0000, 0.0000], [0.5000, 0.5000, 0.5000]], "crystal_system": "cubic", "volume_a3_per_fu": 102.0, "spacegroup": "Fm-3m, No. 225", "de_polymorph_mev_per_atom": 0, "dft_energy_ev_per_atom": -6.08, "delta_e_f_kj_per_mol_atoms": -3.8}


(6)
{"formula": "Pr15Sm2Mg2", "functional": "GGA-PBE", "state": "optimized geometry", "lattice_angstrom": [[5.7309, 3.3087, 5.9764], [-5.7309, 3.3087, 5.9764], [0.0000, -6.6175, 5.9764]], "species": ["Pr", "Pr", "Pr", "Pr", "Pr", "Pr", "Pr", "Pr", "Pr", "Pr", "Pr", "Pr", "Pr", "Pr", "Pr", "Sm", "Sm", "Mg", "Mg"], "frac_coords": [[0.0000, 0.0000, 0.5000], [0.0000, 0.2954, 0.7046], [0.0000, 0.5000, 0.0000], [0.0000, 0.7046, 0.2954], [0.1580, 0.6307, 0.6307], [0.2954, 0.0000, 0.7046], [0.2954, 0.7046, 0.0000], [0.3693, 0.3693, 0.8420], [0.3693, 0.8420, 0.3693], [0.5000, 0.0000, 0.0000], [0.6307, 0.1580, 0.6307], [0.6307, 0.6307, 0.1580], [0.7046, 0.0000, 0.2954], [0.7046, 0.2954, 0.0000], [0.8420, 0.3693, 0.3693], [0.3131, 0.3131, 0.3131], [0.6869, 0.6869, 0.6869], [0.0927, 0.0927, 0.0927], [0.9073, 0.9073, 0.9073]], "crystal_system": "trigonal", "volume_a3_per_fu": 679.9, "spacegroup": "R-3m, No. 166", "dft_energy_ev_per_atom": -4.23, "delta_e_f_kj_per_mol_atoms": 20.0}


(7)
{"formula": "Pa12Tc7Sn", "functional": "GGA-PBE", "state": "optimized geometry", "lattice_angstrom": [[6.7884, 3.9193, 2.7044], [-6.7884, 3.9193, 2.7044], [0.0000, -7.8386, 2.7044]], "species": ["Pa", "Pa", "Pa", "Pa", "Pa", "Pa", "Pa", "Pa", "Pa", "Pa", "Pa", "Pa", "Tc", "Tc", "Tc", "Tc", "Tc", "Tc", "Tc", "Sn"], "frac_coords": [[0.1039, 0.3131, 0.4241], [0.1715, 0.6862, 0.3615], [0.3131, 0.4241, 0.1039], [0.3138, 0.6385, 0.8285], [0.3615, 0.1715, 0.6862], [0.4241, 0.1039, 0.3131], [0.5759, 0.8961, 0.6869], [0.6385, 0.8285, 0.3138], [0.6862, 0.3615, 0.1715], [0.6869, 0.5759, 0.8961], [0.8285, 0.3138, 0.6385], [0.8961, 0.6869, 0.5759], [0.0237, 0.9194, 0.3190], [0.0806, 0.6810, 0.9763], [0.3190, 0.0237, 0.9194], [0.5000, 0.5000, 0.5000], [0.6810, 0.9763, 0.0806], [0.9194, 0.3190, 0.0237], [0.9763, 0.0806, 0.6810], [0.0000, 0.0000, 0.0000]], "crystal_system": "trigonal", "volume_a3_per_fu": 431.7, "spacegroup": "R-3, No. 148", "dft_energy_ev_per_atom": -9.65, "delta_e_f_kj_per_mol_atoms": -12.1}


(8)
{"formula": "La2Pm7Sm", "functional": "GGA-PBE", "state": "optimized geometry", "lattice_angstrom": [[6.0171, -8.4687, 0.0000], [6.0171, 8.4687, 0.0000], [0.0000, 0.0000, 3.5577]], "species": ["La", "La", "Pm", "Pm", "Pm", "Pm", "Pm", "Pm", "Pm", "Sm"], "frac_coords": [[0.1736, 0.8264, 0.0000], [0.8264, 0.1736, 0.0000], [0.1277, 0.3793, 0.0000], [0.3259, 0.6741, 0.5000], [0.3793, 0.1277, 0.0000], [0.5000, 0.5000, 0.0000], [0.6207, 0.8723, 0.0000], [0.6741, 0.3259, 0.5000], [0.8723, 0.6207, 0.0000], [0.0000, 0.0000, 0.5000]], "crystal_system": "orthorhombic", "volume_a3_per_fu": 362.6, "spacegroup": "Cmmm, No. 65", "de_polymorph_mev_per_atom": 220, "dft_energy_ev_per_atom": -4.42, "delta_e_f_kj_per_mol_atoms": 35.2}